[1]
# GGA-PBE Li4Sc3GeO8, relaxed
# Symmetry: R-3m (166)
# Volume: 10.37 A^3/atom
# ΔE_f (raw): -2.565 eV/atom
# Spin magnetization: 0.00 μB per formula unit
# Density of states at the Fermi level: 1.11 states/eV/f.u.
data_Li4Sc3GeO8
_space_group_name_H-M_alt 'P 1'
_space_group_IT_number 1
_space_group_name_Hall 'P 1'
_cell_length_a 6.227
_cell_length_b 6.107
_cell_length_c 6.229
_cell_angle_alpha 120.61
_cell_angle_beta 119.99
_cell_angle_gamma 90.00
loop_
_atom_site_label
_atom_site_type_symbol
_atom_site_fract_x
_atom_site_fract_y
_atom_site_fract_z
Sc1 Sc 0.500 0.500 0.000
Sc2 Sc 0.500 0.500 0.500
Sc3 Sc 0.000 0.500 0.500
Ge1 Ge 0.000 0.500 0.000
O1 O 0.759 0.271 0.518
O2 O 0.254 0.271 0.012
O3 O 0.759 0.271 0.012
O4 O 0.241 0.729 0.482
O5 O 0.257 0.271 0.515
O6 O 0.743 0.729 0.485
O7 O 0.241 0.729 0.988
O8 O 0.746 0.729 0.988
Li1 Li 0.000 0.000 0.500
Li2 Li 0.500 0.000 0.500
Li3 Li 0.500 0.000 0.000
Li4 Li 0.000 0.000 0.000



[2]
# GGA-PBE Ac2Pd3Rh, relaxed
# ΔE_f: -692 meV/atom
# Symmetry: Pmm2 (25)
# Volume: 24.29 A^3/atom
# Energy above the most stable polymorph in this dataset: 7.5 meV per atom
# Spin magnetization: 0.00 μB per formula unit
# Density of states at the Fermi level: 3.77 states/eV/f.u.
data_Ac2Pd3Rh
_space_group_name_H-M_alt 'P 1'
_space_group_IT_number 1
_space_group_name_Hall 'P 1'
_cell_length_a 4.117
_cell_length_b 4.537
_cell_length_c 7.803
_cell_angle_alpha 90.00
_cell_angle_beta 90.00
_cell_angle_gamma 90.00
loop_
_atom_site_label
_atom_site_type_symbol
_atom_site_fract_x
_atom_site_fract_y
_atom_site_fract_z
Ac1 Ac 0.000 0.500 0.008
Ac2 Ac 0.000 0.000 0.494
Rh1 Rh 0.500 0.500 0.331
Pd1 Pd 0.500 0.000 0.170
Pd2 Pd 0.500 0.500 0.663
Pd3 Pd 0.500 0.000 0.833



Look up the spin magnetization of the second one.
0.00 μB per formula unit